[1]
Na3PS4: relaxed, PBEsol.

The value obtained for the density of states at the Fermi level is 0.0 states/eV/f.u. The mass density is 2.286 g/cm3. The total magnetic moment is 0.0 μB/f.u. The value obtained for the formation energy from raw total energies is -0.891 eV/atom.

The space group is I-43m (No. 217) and the conventional cell measures 6.921, 6.921 and 6.921 Å, with angles of 90.00, 90.00 and 90.00 degrees. Symmetry generates all atoms from Na at (0.000, 0.000, 0.500), P at (0.000, 0.000, 0.000) and S at (0.172, 0.172, 0.828).

[2]
NaSbPS2: relaxed, PBEsol.

The value obtained for the excess energy over the best structure of this formula in the dataset is 0 meV per atom. The value obtained for the density of states at the Fermi level is 3.8 states/eV/f.u. The mass density is 3.065 g/cm3. The total magnetic moment is 1.1 μB/f.u. The value obtained for the formation energy from raw total energies is 0.240 eV/atom.

The space group is P4/mmm (No. 123) and the conventional cell measures 5.085, 5.085 and 5.024 Å, with angles of 90.00, 90.00 and 90.00 degrees. Symmetry generates all atoms from Na at (0.000, 0.000, 0.000), Sb at (0.500, 0.500, 0.500), P at (0.500, 0.500, 0.000) and S at (0.000, 0.500, 0.500).

[3]
NaSbP2S6: relaxed, PBEsol.

The value obtained for the excess energy over the best structure of this formula in the dataset is 0 meV per atom. The value obtained for the density of states at the Fermi level is 0.0 states/eV/f.u. The mass density is 3.042 g/cm3. The total magnetic moment is 0.0 μB/f.u. The value obtained for the formation energy from raw total energies is -0.454 eV/atom.

The space group is P2_1/c (No. 14) and the conventional cell measures 11.136, 7.184 and 11.510 Å, with angles of 90.00, 108.84 and 90.00 degrees. Symmetry generates all atoms from Na at (0.093, 0.109, 0.379), Sb at (0.372, 0.647, 0.675), P at (0.253, 0.124, 0.701), P at (0.258, 0.602, 0.336), S at (0.075, 0.218, 0.632), S at (0.157, 0.690, 0.723), S at (0.186, 0.000, 0.960), S at (0.324, 0.508, 0.078), S at (0.377, 0.188, 0.308) and S at (0.442, 0.693, 0.395).